Entry 1:
VASP calculation (PBE) on a relaxed structure of CuPdO3.

The space group is No. 221.

Cell: 3.719 3.719 3.719 Å, 90.00 90.00 90.00°
Positions (direct):
O (0.000, 0.500, 0.000)
O (0.000, 0.000, 0.500)
O (0.500, 0.000, 0.000)
Cu (0.000, 0.000, 0.000)
Pd (0.500, 0.500, 0.500)

Entry 2:
VASP calculation (PBE) on a relaxed structure of TcN2OF.

The space group is No. 123.

Cell: 3.926 3.926 3.755 Å, 90.00 90.00 90.00°
Last column: magnetic moment on the atom in μB.
Positions (direct):
N (0.000, 0.500, 0.000)  0.79
N (0.500, 0.000, 0.000)  0.79
Tc (0.000, 0.000, 0.000)  -0.58
O (0.000, 0.000, 0.500)  0.24
F (0.500, 0.500, 0.500)  0.33

Entry 3:
VASP calculation (PBE) on a relaxed structure of PmYCoI.

The space group is No. 160.

Cell: 3.998 3.996 8.315 Å, 89.98 103.91 119.99°
Positions (direct):
Pm (0.517, 0.156, 0.690)
Y (0.092, 0.944, 0.050)
Co (0.306, 0.551, 0.872)
I (0.963, 0.380, 0.358)

So what do the calculations give for total energy? Going down the list: -4.49 -6.40 -5.53 eV per atom.
So what do the calculations give for magnetization? Going down the list: 0.00 2.20 0.00 μB/cell.